CaCdTc2 PBE relaxed; N(E_F) = 2.27 states/eV/cell; E_form = 379 meV/atom; total magnetization = 0.00 Bohr magnetons per cell
1.0
-2.0933 2.4786 3.7396
2.0933 -2.4786 3.7396
2.0933 2.4786 -3.7396
Ca Cd Tc
1 1 2
Direct
0.0000 0.0000 0.0000
0.2783 0.7783 0.5000
0.5554 0.5554 0.0000
0.7273 0.2273 0.5000


P2ICl2 PBE relaxed; N(E_F) = 1.74 states/eV/cell; uncorrected formation energy = -0.250 eV/atom; total magnetization = 0.00 Bohr magnetons per cell
1.0
3.9498 -7.6025 0.0000
3.9498 7.6025 0.0000
-3.4707 0.0000 5.4245
P I Cl
4 2 4
Direct
0.0173 0.6131 0.6636
0.3869 0.9827 0.8364
0.6131 0.0173 0.1636
0.9827 0.3869 0.3364
0.3122 0.6878 0.2500
0.6878 0.3122 0.7500
0.1364 0.3172 0.5421
0.3172 0.1364 0.0421
0.6828 0.8636 0.9579
0.8636 0.6828 0.4579


Ho2InPb PBE relaxed; N(E_F) = 2.85 states/eV/cell; E_form = -429 meV/atom; total magnetization = 0.00 Bohr magnetons per cell
1.0
3.5156 0.0000 0.0000
0.0000 3.5156 0.0000
0.0000 0.0000 8.7849
Ho In Pb
2 1 1
Direct
0.0000 0.0000 0.2409
0.0000 0.0000 0.7591
0.5000 0.5000 0.0000
0.5000 0.5000 0.5000


KNaTe3 PBE relaxed; N(E_F) = 7.25 states/eV/cell; offset from the most stable computed form = 0.0 kJ/mol of atoms; uncorrected formation energy = -0.080 eV/atom; total magnetization = 0.00 Bohr magnetons per cell
1.0
5.6799 0.0000 0.0000
0.0000 5.6799 0.0000
0.0000 0.0000 5.6799
K Na Te
1 1 3
Direct
0.0000 0.0000 0.0000
0.5000 0.5000 0.5000
0.0000 0.5000 0.5000
0.5000 0.0000 0.5000
0.5000 0.5000 0.0000


TaCuPd3 PBE relaxed; N(E_F) = 6.55 states/eV/cell; offset from the most stable computed form = 3.2 kJ/mol of atoms; E_form = -64 meV/atom; total magnetization = 0.00 Bohr magnetons per cell
1.0
4.9689 0.0000 0.0000
-1.4486 5.0195 0.0000
-0.7674 -2.5861 6.4732
Ta Cu Pd
2 2 6
Direct
0.2332 0.4862 0.3539
0.7668 0.5138 0.6461
0.4920 0.7230 0.9587
0.5080 0.2770 0.0413
0.0000 0.0000 0.0000
0.0000 0.5000 0.0000
0.1783 0.2646 0.6417
0.4196 0.0311 0.3175
0.5804 0.9689 0.6825
0.8217 0.7354 0.3583


Dy2ThPd3 PBE relaxed; N(E_F) = 9.53 states/eV/cell; offset from the most stable computed form = 0.0 kJ/mol of atoms; E_form = -799 meV/atom; total magnetization = 0.00 Bohr magnetons per cell
1.0
5.0207 0.0000 0.0000
0.0000 15.1197 0.0000
0.0000 0.0000 3.5595
Dy Th Pd
4 2 6
Direct
0.2500 0.0788 0.0001
0.2500 0.4212 0.0001
0.7500 0.5788 0.9999
0.7500 0.9212 0.9999
0.2500 0.7500 0.0008
0.7500 0.2500 0.9992
0.2500 0.2500 0.4990
0.2500 0.5840 0.5007
0.2500 0.9160 0.5007
0.7500 0.0840 0.4993
0.7500 0.4160 0.4993
0.7500 0.7500 0.5010


Cs2YBr6N PBE relaxed; N(E_F) = 0.00 states/eV/cell; uncorrected formation energy = -0.925 eV/atom; total magnetization = 0.00 Bohr magnetons per cell
1.0
-3.6631 3.6631 6.5216
3.6631 -3.6631 6.5216
3.6631 3.6631 -6.5216
Cs Y Br N
2 1 6 1
Direct
0.2500 0.7500 0.5000
0.7500 0.2500 0.5000
0.0000 0.0000 0.0000
0.2133 0.2133 0.0000
0.2728 0.2728 0.5455
0.2728 0.7272 0.0000
0.7272 0.2728 0.0000
0.7272 0.7272 0.4545
0.7867 0.7867 0.0000
0.5000 0.5000 0.0000


Total DFT energy (no corrections) in eV/atom, matching the order above: -5.534; -3.463; -4.329; -2.449; -6.370; -6.166; -3.578